Li3MgAu: optimized geometry, PBE.

Lattice parameters (Å, degrees): 4.725 5.376 7.323 90.00 108.66 90.00
Space group P2_1/m (No. 11)
Symmetry-distinct sites (fractional):
Li 0.032 0.250 0.065 [2 per cell]
Li 0.202 0.002 0.404 [4 per cell]
Mg 0.417 0.250 0.835 [2 per cell]
Au 0.371 0.750 0.741 [2 per cell]

Results
E above lowest polymorph = 0 meV/atom
E_form = -1.64 eV/f.u.
Volume = 176.2 Å³/cell



Li7Mg2Au: optimized geometry, PBE.

Lattice parameters (Å, degrees): 4.6269 4.6269 10.3104 90.00 90.00 120.00
Space group P3m1 (No. 156)
Symmetry-distinct sites (fractional):
Li 0.0000 0.0000 0.0000 [1 per cell]
Li 0.0000 0.0000 0.2278 [1 per cell]
Li 0.0000 0.0000 0.4736 [1 per cell]
Li 0.3333 0.6667 0.1950 [1 per cell]
Li 0.3333 0.6667 0.8994 [1 per cell]
Li 0.6667 0.3333 0.3612 [1 per cell]
Li 0.6667 0.3333 0.6758 [1 per cell]
Mg 0.0000 0.0000 0.7358 [1 per cell]
Mg 0.3333 0.6667 0.5449 [1 per cell]
Au 0.6667 0.3333 0.0929 [1 per cell]

Results
E_form = -0.69 eV/f.u.
Volume = 191.2 Å³/cell



LiMg2Au7: optimized geometry, PBE.

Lattice parameters (Å, degrees): 7.455 13.744 4.492 90.00 90.00 90.00
Space group Cmmm (No. 65)
Symmetry-distinct sites (fractional):
Li 0.000 0.000 0.000 [2 per cell]
Mg 0.000 0.295 0.500 [4 per cell]
Au 0.000 0.187 0.000 [4 per cell]
Au 0.000 0.500 0.500 [2 per cell]
Au 0.188 0.105 0.500 [8 per cell]

Results
E_form = -1.75 eV/f.u.
Volume = 460.3 Å³/cell



LiMg4Au3: optimized geometry, PBE.

Lattice parameters (Å, degrees): 4.6560 4.6560 23.0843 90.00 90.00 120.00
Space group R-3m (No. 166, hexagonal axes)
Symmetry-distinct sites (fractional):
Li 0.0000 0.0000 0.0000 [3 per cell]
Mg 0.0000 0.0000 0.1289 [6 per cell]
Mg 0.0000 0.0000 0.3782 [6 per cell]
Au 0.0000 0.0000 0.2574 [6 per cell]
Au 0.0000 0.0000 0.5000 [3 per cell]

Results
E_form = -4.39 eV/f.u.
Volume = 433.4 Å³/cell



Li4MgAu5: optimized geometry, PBE.

Lattice parameters (Å, degrees): 3.221 3.221 15.262 90.00 90.00 90.00
Space group P4/mmm (No. 123)
Symmetry-distinct sites (fractional):
Li 0.000 0.000 0.097 [2 per cell]
Li 0.000 0.000 0.290 [2 per cell]
Mg 0.000 0.000 0.500 [1 per cell]
Au 0.500 0.500 0.000 [1 per cell]
Au 0.500 0.500 0.193 [2 per cell]
Au 0.500 0.500 0.389 [2 per cell]

Results
E_form = -5.55 eV/f.u.
Volume = 158.3 Å³/cell



LiMgAu: optimized geometry, PBE.

Lattice parameters (Å, degrees): 4.268 3.801 12.646 90.00 90.00 90.00
Space group Amm2 (No. 38)
Symmetry-distinct sites (fractional):
Li 0.000 0.000 0.000 [2 per cell]
Li 0.500 0.000 0.176 [2 per cell]
Mg 0.000 0.000 0.669 [2 per cell]
Mg 0.500 0.000 0.856 [2 per cell]
Au 0.000 0.000 0.332 [2 per cell]
Au 0.500 0.000 0.522 [2 per cell]

Results
E above lowest polymorph = 14 meV/atom
E_form = -1.48 eV/f.u.
Volume = 205.2 Å³/cell



Li2Mg2Au: optimized geometry, PBE.

Lattice parameters (Å, degrees): 6.549 6.549 4.242 90.00 90.00 90.00
Space group P4/mbm (No. 127)
Symmetry-distinct sites (fractional):
Li 0.134 0.366 0.000 [4 per cell]
Mg 0.178 0.678 0.500 [4 per cell]
Au 0.000 0.000 0.000 [2 per cell]

Results
E above lowest polymorph = 116 meV/atom
E_form = -1.09 eV/f.u.
Volume = 181.9 Å³/cell



Li5MgAu: optimized geometry, PBE.

Lattice parameters (Å, degrees): 7.557 6.754 10.014 90.00 95.49 90.00
Space group C2/c (No. 15)
Symmetry-distinct sites (fractional):
Li 0.000 0.083 0.250 [4 per cell]
Li 0.170 0.365 0.082 [8 per cell]
Li 0.208 0.343 0.384 [8 per cell]
Mg 0.000 0.327 0.750 [4 per cell]
Au 0.000 0.000 0.000 [4 per cell]

Results
E above lowest polymorph = 0 meV/atom
E_form = -1.30 eV/f.u.
Volume = 508.8 Å³/cell



Li14MgAu: optimized geometry, PBE.

Lattice parameters (Å, degrees): 9.787 5.838 10.534 90.00 90.00 90.00
Space group Amm2 (No. 38)
Symmetry-distinct sites (fractional):
Li 0.000 0.000 0.000 [2 per cell]
Li 0.000 0.000 0.493 [2 per cell]
Li 0.000 0.245 0.245 [4 per cell]
Li 0.240 0.000 0.835 [4 per cell]
Li 0.260 0.243 0.085 [8 per cell]
Li 0.272 0.000 0.325 [4 per cell]
Li 0.500 0.244 0.929 [4 per cell]
Mg 0.500 0.000 0.678 [2 per cell]
Au 0.500 0.000 0.167 [2 per cell]

Results
E_form = -1.52 eV/f.u.
Volume = 601.8 Å³/cell



Li7MgAu2: optimized geometry, PBE.

Lattice parameters (Å, degrees): 7.554 12.481 4.789 90.00 90.00 90.00
Space group Cmmm (No. 65)
Symmetry-distinct sites (fractional):
Li 0.000 0.000 0.000 [2 per cell]
Li 0.000 0.145 0.500 [4 per cell]
Li 0.188 0.380 0.000 [8 per cell]
Mg 0.000 0.500 0.500 [2 per cell]
Au 0.000 0.208 0.000 [4 per cell]

Results
E_form = -1.08 eV/f.u.
Volume = 451.6 Å³/cell



Li5MgAu4: optimized geometry, PBE.

Lattice parameters (Å, degrees): 3.263 3.263 15.035 90.00 90.00 90.00
Space group P4/mmm (No. 123)
Symmetry-distinct sites (fractional):
Li 0.000 0.000 0.000 [1 per cell]
Li 0.000 0.000 0.194 [2 per cell]
Li 0.000 0.000 0.380 [2 per cell]
Mg 0.500 0.500 0.500 [1 per cell]
Au 0.500 0.500 0.098 [2 per cell]
Au 0.500 0.500 0.296 [2 per cell]

Results
E_form = -4.66 eV/f.u.
Volume = 160.0 Å³/cell



Li6Mg2Au: optimized geometry, PBE.

Lattice parameters (Å, degrees): 6.844 12.067 4.004 90.00 90.00 90.00
Space group Cmmm (No. 65)
Symmetry-distinct sites (fractional):
Li 0.193 0.143 0.000 [8 per cell]
Li 0.214 0.000 0.500 [4 per cell]
Mg 0.000 0.309 0.500 [4 per cell]
Au 0.000 0.500 0.000 [2 per cell]

Results
E_form = -1.28 eV/f.u.
Volume = 330.7 Å³/cell



Li4Mg3Au: optimized geometry, PBE.

Lattice parameters (Å, degrees): 18.103 3.899 4.409 90.00 103.73 90.00
Space group C2/m (No. 12)
Symmetry-distinct sites (fractional):
Li 0.122 0.000 0.121 [4 per cell]
Li 0.247 0.500 0.247 [4 per cell]
Mg 0.000 0.500 0.000 [2 per cell]
Mg 0.121 0.500 0.620 [4 per cell]
Au 0.000 0.000 0.500 [2 per cell]

Results
E above lowest polymorph = 0 meV/atom
E_form = -1.78 eV/f.u.
Volume = 302.3 Å³/cell



Li12Mg6Au: optimized geometry, PBE.

Lattice parameters (Å, degrees): 10.4429 10.4429 12.3136 90.00 90.00 120.00
Space group R-3 (No. 148, hexagonal axes)
Symmetry-distinct sites (fractional):
Li 0.0392 0.8604 0.3128 [18 per cell]
Li 0.0613 0.2048 0.9084 [18 per cell]
Mg 0.0327 0.5949 0.2098 [18 per cell]
Au 0.0000 0.0000 0.5000 [3 per cell]

Results
E_form = -1.72 eV/f.u.
Volume = 1162.9 Å³/cell



LiMg2Au5: optimized geometry, PBE.

Lattice parameters (Å, degrees): 4.827 4.827 12.133 90.00 90.00 90.00
Space group I4/mmm (No. 139)
Symmetry-distinct sites (fractional):
Li 0.000 0.000 0.000 [2 per cell]
Mg 0.000 0.000 0.255 [4 per cell]
Au 0.000 0.000 0.500 [2 per cell]
Au 0.000 0.500 0.127 [8 per cell]

Results
E_form = -3.75 eV/f.u.
Volume = 282.7 Å³/cell



Li12MgAu6: optimized geometry, PBE.

Lattice parameters (Å, degrees): 9.7121 9.7121 12.0255 90.00 90.00 120.00
Space group R-3 (No. 148, hexagonal axes)
Symmetry-distinct sites (fractional):
Li 0.0335 0.8340 0.3087 [18 per cell]
Li 0.0631 0.2263 0.9166 [18 per cell]
Mg 0.0000 0.0000 0.5000 [3 per cell]
Au 0.0139 0.5791 0.2055 [18 per cell]

Results
E_form = -7.88 eV/f.u.
Volume = 982.3 Å³/cell



LiMgAu4: optimized geometry, PBE.

Lattice parameters (Å, degrees): 9.374 3.913 5.964 90.00 108.45 90.00
Space group C2/m (No. 12)
Symmetry-distinct sites (fractional):
Li 0.000 0.000 0.000 [2 per cell]
Mg 0.000 0.000 0.500 [2 per cell]
Au 0.159 0.500 0.835 [4 per cell]
Au 0.161 0.500 0.327 [4 per cell]

Results
E above lowest polymorph = 0 meV/atom
E_form = -2.58 eV/f.u.
Volume = 207.5 Å³/cell



LiMgAu6: optimized geometry, PBE.

Lattice parameters (Å, degrees): 4.863 5.765 9.932 90.00 90.00 90.00
Space group Amm2 (No. 38)
Symmetry-distinct sites (fractional):
Li 0.000 0.000 0.000 [2 per cell]
Mg 0.500 0.000 0.333 [2 per cell]
Au 0.000 0.000 0.499 [2 per cell]
Au 0.000 0.249 0.251 [4 per cell]
Au 0.500 0.000 0.835 [2 per cell]
Au 0.500 0.247 0.082 [4 per cell]

Results
E above lowest polymorph = 6 meV/atom
E_form = -2.93 eV/f.u.
Volume = 278.4 Å³/cell



Li2Mg2Au: optimized geometry, PBE.

Lattice parameters (Å, degrees): 7.060 7.060 4.085 90.00 90.00 90.00
Space group P4/mbm (No. 127)
Symmetry-distinct sites (fractional):
Li 0.163 0.337 0.000 [4 per cell]
Mg 0.147 0.647 0.500 [4 per cell]
Au 0.000 0.000 0.500 [2 per cell]

Results
E above lowest polymorph = 184 meV/atom
E_form = -0.75 eV/f.u.
Volume = 203.6 Å³/cell



LiMg3Au3: optimized geometry, PBE.

Lattice parameters (Å, degrees): 6.790 11.607 6.965 90.00 90.75 90.00
Space group C2/m (No. 12)
Symmetry-distinct sites (fractional):
Li 0.189 0.000 0.047 [4 per cell]
Mg 0.000 0.303 0.500 [4 per cell]
Mg 0.000 0.305 0.000 [4 per cell]
Mg 0.197 0.000 0.432 [4 per cell]
Au 0.029 0.500 0.240 [4 per cell]
Au 0.107 0.135 0.750 [8 per cell]

Results
E above lowest polymorph = 57 meV/atom
E_form = -3.03 eV/f.u.
Volume = 548.9 Å³/cell



Li4MgAu2: optimized geometry, PBE.

Lattice parameters (Å, degrees): 7.218 5.189 7.275 90.00 116.85 90.00
Space group P2_1/m (No. 11)
Symmetry-distinct sites (fractional):
Li 0.053 0.250 0.085 [2 per cell]
Li 0.288 0.000 0.440 [4 per cell]
Li 0.362 0.750 0.062 [2 per cell]
Mg 0.194 0.250 0.780 [2 per cell]
Au 0.082 0.750 0.638 [2 per cell]
Au 0.458 0.250 0.208 [2 per cell]

Results
E above lowest polymorph = 0 meV/atom
E_form = -2.65 eV/f.u.
Volume = 243.1 Å³/cell